(1)
SmYCuPt after structural relaxation, computed with PBE-GGA.

Unit cell a=4.988 b=4.988 c=4.988 alpha=60.00 beta=60.00 gamma=60.00
Atoms (fractional coordinates):
Pt  0.750  0.750  0.750
Cu  0.250  0.250  0.250
Sm  0.000  0.000  0.000
Y  0.500  0.500  0.500

M_tot: 0.000 μB/f.u.
electronic total energy: -24.17 eV/cell
offset from the most stable computed form: 0.18 eV per formula unit
space group: F-43m, No. 216

---

(2)
RbNbCl6 after structural relaxation, computed with PBE-GGA.

Unit cell a=6.475 b=6.475 c=6.513 alpha=78.88 beta=78.88 gamma=100.45
Atoms (fractional coordinates):
Cl  0.268  0.930  0.732
Cl  0.070  0.732  0.268
Cl  0.930  0.268  0.732
Cl  0.731  0.731  0.937
Cl  0.732  0.070  0.268
Cl  0.269  0.269  0.063
Nb  0.000  0.000  0.000
Rb  0.500  0.500  0.500

M_tot: 0.000 μB/f.u.
electronic total energy: -33.75 eV/cell
formation energy without anion corrections: -1.454 eV/atom
offset from the most stable computed form: 0.03 eV per formula unit
space group: C2/m, No. 12

---

(3)
PaVSn after structural relaxation, computed with PBE-GGA.

Unit cell a=3.382 b=4.787 c=4.787 alpha=120.00 beta=90.00 gamma=90.00
Atoms (fractional coordinates):
V  0.833  0.000  0.000
Sn  0.833  0.667  0.333
Pa  0.333  0.333  0.667

M_tot: 2.857 μB/f.u.
electronic total energy: -22.37 eV/cell
space group: P-6m2, No. 187

---

(4)
Co3Ag2 after structural relaxation, computed with PBE-GGA.

Unit cell a=11.258 b=11.258 c=11.258 alpha=13.65 beta=13.65 gamma=13.65
Atoms (fractional coordinates):
Ag  0.598  0.598  0.598
Ag  0.402  0.402  0.402
Co  0.000  0.000  0.000
Co  0.194  0.194  0.194
Co  0.806  0.806  0.806

M_tot: 1.789 μB/f.u.
electronic total energy: -25.17 eV/cell
space group: R-3m, No. 166

---

(5)
Si2TcAu after structural relaxation, computed with PBE-GGA.

Unit cell a=7.991 b=7.991 c=7.991 alpha=21.75 beta=21.75 gamma=21.75
Atoms (fractional coordinates):
Au  0.744  0.744  0.744
Tc  0.509  0.509  0.509
Si  0.250  0.250  0.250
Si  0.996  0.996  0.996

M_tot: 0.232 μB/f.u.
electronic total energy: -23.86 eV/cell
formation energy without anion corrections: 0.156 eV/atom
offset from the most stable computed form: 1.28 eV per formula unit
space group: R3m, No. 160